#a
Entry from Alexandria via LeMat-Bulk: a relaxed TaNbAsBr2 crystal (PBE-GGA).

- size of the total moment (μB per atom) = 0.81

Cell lengths 5.0501, 5.0501, 5.1471 Å; angles 90.00, 90.00, 90.00 degrees
Closest atoms and distances in Å follow each position.
Space group P4/mmm (No. 123)
One atom of each set of equivalent atoms:
Ta1 0.0000 0.0000 0.0000 x1  4 Br 2.53, 2 As 2.57
Nb1 0.5000 0.5000 0.5000 x1  4 As 3.57, 8 Br 3.61
As1 0.0000 0.0000 0.5000 x1  2 Ta 2.57
Br1 0.0000 0.5000 0.0000 x2  2 Ta 2.53

***

#b
Entry from Alexandria via LeMat-Bulk: a relaxed TaNbAsBr2 crystal (PBE-GGA).

- size of the total moment (μB per atom) = 0.82

Cell lengths 5.0351, 5.0351, 5.2078 Å; angles 90.00, 90.00, 90.00 degrees
Closest atoms and distances in Å follow each position.
Space group P4/mmm (No. 123)
One atom of each set of equivalent atoms:
Ta1 0.0000 0.0000 0.0000 x1  4 As 3.56, 8 Br 3.62
Nb1 0.5000 0.5000 0.5000 x1  4 Br 2.52, 2 As 2.60
As1 0.5000 0.5000 0.0000 x1  2 Nb 2.60
Br1 0.0000 0.5000 0.5000 x2  2 Nb 2.52

***

The data favor #a; the next most stable structure lies 189 meV per atom above it.

***

#a
Entry from Alexandria via LeMat-Bulk: a relaxed TaNbAs2Br crystal (PBE-GGA).

- size of the total moment (μB per atom) = 0.64

Cell lengths 5.0057, 5.0057, 5.0359 Å; angles 90.00, 90.00, 90.00 degrees
Closest atoms and distances in Å follow each position.
Space group P4/mmm (No. 123)
One atom of each set of equivalent atoms:
Ta1 0.0000 0.0000 0.0000 x1  4 As 2.50, 2 Br 2.52
Nb1 0.5000 0.5000 0.5000 x1  4 Br 3.54, 8 As 3.55
As1 0.0000 0.5000 0.0000 x2  2 Ta 2.50
Br1 0.0000 0.0000 0.5000 x1  2 Ta 2.52

***

#b
Entry from Alexandria via LeMat-Bulk: a relaxed TaNbAs2Br crystal (PBE-GGA).

- size of the total moment (μB per atom) = 0.61

Cell lengths 5.0107, 5.0107, 5.0002 Å; angles 90.00, 90.00, 90.00 degrees
Closest atoms and distances in Å follow each position.
Space group P4/mmm (No. 123)
One atom of each set of equivalent atoms:
Ta1 0.0000 0.0000 0.0000 x1  8 As 3.54, 4 Br 3.54
Nb1 0.5000 0.5000 0.5000 x1  2 Br 2.50, 4 As 2.51
As1 0.0000 0.5000 0.5000 x2  2 Nb 2.51
Br1 0.5000 0.5000 0.0000 x1  2 Nb 2.50

***

The data favor #a; the next most stable structure lies 221 meV per atom above it.

***

#a
Entry from Alexandria via LeMat-Bulk: a relaxed NbTcAsBr2 crystal (PBE-GGA).

- size of the total moment (μB per atom) = 0.18

Cell lengths 5.0107, 5.0107, 4.8128 Å; angles 90.00, 90.00, 90.00 degrees
Closest atoms and distances in Å follow each position.
Space group P4/mmm (No. 123)
One atom of each set of equivalent atoms:
Nb1 0.0000 0.0000 0.0000 x1  8 Br 3.47, 4 As 3.54
Tc1 0.5000 0.5000 0.5000 x1  2 As 2.41, 4 Br 2.51
As1 0.5000 0.5000 0.0000 x1  2 Tc 2.41
Br1 0.0000 0.5000 0.5000 x2  2 Tc 2.51

***

#b
Entry from Alexandria via LeMat-Bulk: a relaxed NbTcAsBr2 crystal (PBE-GGA).

- size of the total moment (μB per atom) = 1.01

Cell lengths 5.1253, 5.1253, 5.1540 Å; angles 90.00, 90.00, 90.00 degrees
Closest atoms and distances in Å follow each position.
Space group P4/mmm (No. 123)
One atom of each set of equivalent atoms:
Nb1 0.0000 0.0000 0.0000 x1  4 Br 2.56, 2 As 2.58
Tc1 0.5000 0.5000 0.5000 x1  4 As 3.62, 8 Br 3.63
As1 0.0000 0.0000 0.5000 x1  2 Nb 2.58
Br1 0.0000 0.5000 0.0000 x2  2 Nb 2.56

***

The data favor #b; the next most stable structure lies 292 meV per atom above it.